Arrangement 1

DFT (GGA-PBE) results for a relaxed KRuI3 crystal.

## Properties
- ρ: 3.35 g cm⁻³

Structure (extended XYZ):
```
5
Lattice="6.3646 0.0000 0.0000 0.0000 6.3646 0.0000 0.0000 0.0000 6.3646" Properties=species:S:1:pos:R:3 pbc="T T T"
I 0.0000 3.1823 0.0000
I 0.0000 0.0000 3.1823
I 3.1823 0.0000 0.0000
Ru 3.1823 3.1823 3.1823
K 0.0000 0.0000 0.0000
```


Arrangement 2

DFT (GGA-PBE) results for a relaxed KRuI3 crystal.

## Properties
- ρ: 4.98 g cm⁻³

Structure (extended XYZ):
```
5
Lattice="5.5781 0.0000 0.0000 0.0000 5.5781 0.0000 0.0000 0.0000 5.5781" Properties=species:S:1:pos:R:3 pbc="T T T"
I 0.0000 2.7890 0.0000
I 0.0000 0.0000 2.7890
I 2.7890 0.0000 0.0000
Ru 0.0000 0.0000 0.0000
K 2.7890 2.7890 2.7890
```


We find arrangement 2 to be the most stable, with the next structure 1145 meV/atom higher.


Arrangement 1

DFT (GGA-PBE) results for a relaxed K2RuI crystal.

## Properties
- ρ: 3.37 g cm⁻³

Structure (extended XYZ):
```
4
Lattice="5.7999 1.1104 0.8998 1.8757 1.9564 5.3232 3.2136 -3.5843 3.5366" Properties=species:S:1:pos:R:3 pbc="T T T"
I 5.4446 -0.2588 4.8798
Ru 0.0000 0.0000 0.0000
K 2.7223 -0.1294 2.4399
K 8.1669 -0.3882 7.3197
```


Arrangement 2

DFT (GGA-PBE) results for a relaxed K2RuI crystal.

## Properties
- ρ: 2.60 g cm⁻³

Structure (extended XYZ):
```
8
Lattice="-0.1825 11.6173 -4.6510 -9.1728 -3.2882 -7.8534 -6.3787 4.8229 -4.5411" Properties=species:S:1:pos:R:3 pbc="T T T"
I 0.0000 0.0000 0.0000
I -5.6194 10.3024 -7.7221
Ru -4.6776 4.1645 -6.2522
Ru -10.1145 2.8496 -9.3233
K -2.8161 5.5562 -4.0232
K -7.3897 3.1020 -7.6256
K -10.2656 6.0331 -9.7845
K -10.9965 11.6125 -12.6576
```


We find arrangement 2 to be the most stable, with the next structure 206 meV/atom higher.


Arrangement 1

DFT (GGA-PBE) results for a relaxed KSbRuI2 crystal.

## Properties
- ρ: 5.11 g cm⁻³

Structure (extended XYZ):
```
5
Lattice="5.7979 0.0000 0.0000 0.0000 5.7979 0.0000 0.0000 0.0000 4.9883" Properties=species:S:1:pos:R:3 pbc="T T T"
I 0.0000 2.8990 0.0000
I 2.8990 0.0000 0.0000
Sb 0.0000 0.0000 2.4941
K 2.8990 2.8990 2.4941
Ru 0.0000 0.0000 0.0000
```


Arrangement 2

DFT (GGA-PBE) results for a relaxed KSbRuI2 crystal.

## Properties
- ρ: 3.28 g cm⁻³

Structure (extended XYZ):
```
5
Lattice="-1.8680 -1.1034 5.9993 -5.2893 -2.8324 -2.1679 3.0519 -5.6335 -0.0859" Properties=species:S:1:pos:R:3 pbc="T T T"
I -2.6446 -1.4162 -1.0839
I -0.9340 -0.5517 2.9997
Sb 1.5260 -2.8167 -0.0429
K 0.0000 0.0000 0.0000
Ru -2.0527 -4.7847 1.8728
```


We find arrangement 1 to be the most stable, with the next structure 1437 meV/atom higher.


Arrangement 1

DFT (GGA-PBE) results for a relaxed KTeRu2I crystal.

## Properties
- ρ: 5.38 g cm⁻³

Structure (extended XYZ):
```
5
Lattice="5.0027 0.0000 0.0000 0.0000 6.1147 0.0000 0.0000 0.0000 5.0027" Properties=species:S:1:pos:R:3 pbc="T T T"
I 0.0000 0.0000 0.0000
Ru 0.0000 0.0000 2.5014
Ru 2.5014 0.0000 0.0000
K 0.0000 3.0574 0.0000
Te 2.5014 3.0574 2.5014
```


Arrangement 2

DFT (GGA-PBE) results for a relaxed KTeRu2I crystal.

## Properties
- ρ: 5.32 g cm⁻³

Structure (extended XYZ):
```
5
Lattice="-5.0725 -0.2013 0.3151 0.1659 -5.8756 -1.0822 0.3462 -0.9097 4.9923" Properties=species:S:1:pos:R:3 pbc="T T T"
I -2.2802 -3.4933 2.1126
Ru 0.1731 -0.4549 2.4961
Ru -2.5363 -0.1006 0.1576
K 0.0000 0.0000 0.0000
Te 0.0830 -2.9378 -0.5411
```


We find arrangement 1 to be the most stable, with the next structure 1132 meV/atom higher.


Arrangement 1

DFT (GGA-PBE) results for a relaxed KTeRuI2 crystal.

## Properties
- ρ: 3.48 g cm⁻³

Structure (extended XYZ):
```
5
Lattice="6.3007 0.0000 0.0000 0.0000 6.3007 0.0000 0.0000 0.0000 6.2652" Properties=species:S:1:pos:R:3 pbc="T T T"
I 0.0000 3.1503 0.0000
I 3.1503 0.0000 0.0000
Ru 3.1503 3.1503 3.1326
K 0.0000 0.0000 0.0000
Te 0.0000 0.0000 3.1326
```


Arrangement 2

DFT (GGA-PBE) results for a relaxed KTeRuI2 crystal.

## Properties
- ρ: 5.07 g cm⁻³

Structure (extended XYZ):
```
5
Lattice="5.8439 0.0000 0.0000 0.0000 5.8439 0.0000 0.0000 0.0000 4.9995" Properties=species:S:1:pos:R:3 pbc="T T T"
I 0.0000 2.9220 0.0000
I 2.9220 0.0000 0.0000
Ru 0.0000 0.0000 0.0000
K 2.9220 2.9220 2.4998
Te 0.0000 0.0000 2.4998
```


We find arrangement 2 to be the most stable, with the next structure 1412 meV/atom higher.


Arrangement 1

DFT (GGA-PBE) results for a relaxed KS3I crystal.

## Properties
- ρ: 3.09 g cm⁻³

Structure (extended XYZ):
```
5
Lattice="-3.3823 -0.9852 3.8278 3.8820 0.1196 3.4610 -0.7434 5.1066 0.6575" Properties=species:S:1:pos:R:3 pbc="T T T"
I 0.0000 0.0000 0.0000
K -0.1219 2.1205 3.9731
S 1.9410 0.0598 1.7305
S -0.3717 2.5533 0.3287
S -1.6912 -0.4926 1.9139
```


Arrangement 2

DFT (GGA-PBE) results for a relaxed KS3I crystal.

## Properties
- ρ: 1.98 g cm⁻³

Structure (extended XYZ):
```
5
Lattice="6.0313 0.0000 0.0000 0.0000 6.0313 0.0000 0.0000 0.0000 6.0313" Properties=species:S:1:pos:R:3 pbc="T T T"
I 3.0156 3.0156 3.0156
K 0.0000 0.0000 0.0000
S 0.0000 3.0156 0.0000
S 0.0000 0.0000 3.0156
S 3.0156 0.0000 0.0000
```


We find arrangement 1 to be the most stable, with the next structure 899 meV/atom higher.


Arrangement 1

DFT (GGA-PBE) results for a relaxed K4SI2 crystal.

## Properties
- ρ: 2.27 g cm⁻³

Structure (extended XYZ):
```
7
Lattice="5.9635 0.0000 0.0000 0.0000 5.9635 0.0000 2.9818 2.9818 9.0977" Properties=species:S:1:pos:R:3 pbc="T T T"
I 2.9818 2.9818 2.6052
I 5.9635 5.9635 6.4925
K 2.9818 2.9818 6.0936
K 5.9635 5.9635 3.0041
K 0.0000 2.9818 0.0000
K 2.9818 0.0000 0.0000
S 0.0000 0.0000 0.0000
```


Arrangement 2

DFT (GGA-PBE) results for a relaxed K4SI2 crystal.

## Properties
- ρ: 2.29 g cm⁻³

Structure (extended XYZ):
```
14
Lattice="-5.8511 4.5526 -2.7046 -6.3046 -5.5146 4.3568 3.4493 7.4382 5.0583" Properties=species:S:1:pos:R:3 pbc="T T T"
K -3.2167 4.7677 3.4055
K -2.6058 4.4690 7.4034
K -6.1006 2.0072 -0.6929
K -6.1089 7.0180 2.0686
K -3.5310 5.3934 -0.5520
K -2.5976 -0.5418 4.6419
K -5.4898 1.7085 3.3050
K -5.1754 1.0828 7.2625
S -3.2767 2.3842 5.3455
S -5.4297 4.0921 1.3650
I -3.7350 -0.8029 0.9722
I -4.9715 7.2791 5.7382
I -2.2496 8.0884 1.2121
I -6.4568 -1.6122 5.4984
```


We find arrangement 1 to be the most stable, with the next structure 15 meV/atom higher.


Arrangement 1

DFT (GGA-PBE) results for a relaxed KSI3 crystal.

## Properties
- ρ: 4.04 g cm⁻³

Structure (extended XYZ):
```
5
Lattice="-2.4912 -2.2725 4.6035 -3.8064 -2.6159 -3.3512 3.4449 -4.5337 -0.3738" Properties=species:S:1:pos:R:3 pbc="T T T"
I -1.9032 -1.3080 -1.6756
I 1.7225 -2.2669 -0.1869
I -1.2456 -1.1362 2.3017
K -1.4263 -4.7111 0.4393
S 0.0000 0.0000 0.0000
```


Arrangement 2

DFT (GGA-PBE) results for a relaxed KSI3 crystal.

## Properties
- ρ: 2.55 g cm⁻³

Structure (extended XYZ):
```
5
Lattice="-1.1567 3.4581 5.5662 3.2199 -4.6230 3.5412 5.7074 3.3089 -0.8697" Properties=species:S:1:pos:R:3 pbc="T T T"
I 1.6099 -2.3115 1.7706
I 2.8537 1.6545 -0.4349
I -0.5783 1.7291 2.7831
K 0.0000 0.0000 0.0000
S 3.8853 1.0721 4.1188
```


We find arrangement 1 to be the most stable, with the next structure 844 meV/atom higher.


Arrangement 1

DFT (GGA-PBE) results for a relaxed K12S3I5 crystal.

## Properties
- ρ: 2.21 g cm⁻³

Structure (extended XYZ):
```
20
Lattice="4.9016 0.0000 0.0000 0.0000 12.6251 -7.2891 0.0000 0.0000 14.5782" Properties=species:S:1:pos:R:3 pbc="T T T"
K 0.0000 10.2370 -5.9103
K 0.0000 2.3881 1.3788
K 0.0000 0.0000 11.8206
K 0.0000 6.8796 -3.9720
K 0.0000 5.7454 3.3171
K 0.0000 0.0000 7.9439
K 2.4508 2.5619 4.9689
K 2.4508 3.0223 9.8751
K 2.4508 10.0632 -2.3202
K 2.4508 7.0409 7.0233
K 2.4508 9.6028 2.5860
K 2.4508 5.5841 -0.2658
S 2.4508 8.4493 -4.8782
S 2.4508 4.1758 2.4109
S 2.4508 0.0000 9.7564
I 0.0000 4.2084 7.2891
I 0.0000 8.4167 0.0000
I 0.0000 3.8265 -2.2092
I 0.0000 8.7986 5.0799
I 0.0000 0.0000 4.4185
```


Arrangement 2

DFT (GGA-PBE) results for a relaxed K12S3I5 crystal.

## Properties
- ρ: 2.10 g cm⁻³

Structure (extended XYZ):
```
80
Lattice="-4.9977 8.3116 13.9704 -11.2009 -12.2801 -3.6021 15.3108 -6.9008 2.6817" Properties=species:S:1:pos:R:3 pbc="T T T"
S -6.0348 0.7661 9.4623
S -10.8598 -2.8000 9.8578
S -0.7055 -10.4062 4.2134
S 3.0920 -2.0449 4.0480
S -1.9454 4.0125 12.4443
S -5.0470 -6.2834 3.6581
S 4.1592 -4.5859 9.3921
S 1.0576 -14.8817 0.6058
S -3.9798 -8.8243 9.0021
S -0.1822 -0.4631 8.8367
S 9.9720 -8.0693 3.1923
S 5.1470 -11.6354 3.5878
I -0.9973 -5.2913 1.0660
I -5.6004 -6.1400 -1.8010
I 0.0000 0.0000 0.0000
I -2.7605 -0.8158 4.6736
I 5.1565 0.7054 8.3261
I -8.0993 -1.9842 5.1842
I -3.2838 -10.7589 0.0504
I 8.2486 -1.3395 12.3741
I -5.0073 -4.0291 9.2322
I 8.2088 -3.5938 6.8000
I -9.0966 -7.2755 6.2501
I -0.4439 -5.4346 6.5251
I -2.4989 4.1558 6.9852
I 7.6554 -3.4504 1.3409
I 4.1195 -6.8401 3.8179
I -9.1363 -9.5297 0.6760
I 2.0550 -9.5904 -0.4602
I 2.3960 -0.1104 12.9997
I 1.8727 -10.0535 8.3765
I 0.1096 -5.5780 11.9841
K -4.1204 4.0031 10.0786
K -1.3753 -7.3021 3.7202
K -4.7720 1.4588 12.3351
K -3.4989 0.8441 7.4898
K -1.0918 -8.6981 7.5981
K -8.3417 -0.3804 11.3835
K -4.1128 -9.2726 2.9375
K -8.2424 -11.3812 -1.9706
K -2.9456 -11.3306 6.3241
K -7.9049 -2.4517 8.6433
K -2.9968 -1.4661 10.0197
K -13.5302 -5.1055 8.4168
K -0.2286 -11.9407 0.7579
K -5.0788 -3.0731 3.8011
K -5.4498 -13.1303 -0.9068
K 5.1367 -2.2852 6.5156
K 1.2763 -2.8731 1.5292
K -8.6721 -5.1103 3.7276
K -10.2115 -5.8472 9.0694
K -4.1160 -4.1371 0.6498
K -0.6102 -13.5889 3.7790
K -3.9146 -5.8403 6.6327
K -5.2128 -6.3584 11.6330
K 6.1939 -3.9217 11.7892
K 3.0268 -5.0290 6.4174
K 4.3250 -4.5109 1.4171
K -7.0817 -6.9475 1.2609
K 9.3237 -5.0221 3.9807
K -0.2775 2.7197 9.2711
K 3.2282 -6.7322 12.4003
K 7.7844 -5.7590 9.3225
K -6.0245 -8.5841 6.5345
K -2.1641 -7.9962 11.5209
K 4.5620 2.2611 13.9569
K -0.6592 1.0714 12.2922
K 12.6424 -5.7638 4.6333
K 4.1910 -7.7962 9.2490
K 2.0578 0.4614 6.7260
K 7.0172 -8.4175 4.4068
K 2.1090 -9.4032 3.0304
K 7.3547 0.5120 15.0207
K 3.2250 -1.5966 10.1126
K 2.6111 -11.7134 5.5603
K 7.4539 -10.4889 1.6667
K 0.2041 -2.1711 5.4520
K 3.8842 -12.3281 0.7150
K 0.4875 -3.5672 9.3299
K 3.2327 -14.8724 2.9715
```


We find arrangement 1 to be the most stable, with the next structure 128 meV/atom higher.


Arrangement 1

DFT (GGA-PBE) results for a relaxed KSb2I crystal.

## Properties
- ρ: 5.07 g cm⁻³

Structure (extended XYZ):
```
4
Lattice="-2.8330 -4.5059 2.1598 0.2067 -1.0897 5.6360 -4.6574 0.8288 3.2582" Properties=species:S:1:pos:R:3 pbc="T T T"
I -3.6418 -2.3834 5.5270
Sb -1.8209 -1.1917 2.7635
Sb -5.4627 -3.5751 8.2905
K 0.0000 0.0000 0.0000
```


Arrangement 2

DFT (GGA-PBE) results for a relaxed KSb2I crystal.

## Properties
- ρ: 4.16 g cm⁻³

Structure (extended XYZ):
```
8
Lattice="10.3699 0.0000 0.0000 0.0000 10.3699 0.0000 5.1850 5.1850 3.0415" Properties=species:S:1:pos:R:3 pbc="T T T"
I 0.0000 0.0000 0.0000
I 10.3699 5.1850 1.5208
Sb 8.0620 2.5925 0.7604
Sb 2.3079 7.7775 0.7604
Sb 7.7775 7.4929 2.2811
Sb 12.9624 13.2470 2.2811
K 5.1850 5.1850 0.0000
K 5.1850 10.3699 1.5208
```


We find arrangement 2 to be the most stable, with the next structure 258 meV/atom higher.


Arrangement 1

DFT (GGA-PBE) results for a relaxed KSb2SeI crystal.

## Properties
- ρ: 3.65 g cm⁻³

Structure (extended XYZ):
```
5
Lattice="-3.7720 -3.6479 -3.2388 4.8377 -2.2707 -3.0766 0.5945 -4.1906 4.0276" Properties=species:S:1:pos:R:3 pbc="T T T"
I 0.2972 -2.0953 2.0138
Sb 2.4189 -1.1353 -1.5383
Sb -1.8860 -1.8240 -1.6194
K 0.0000 0.0000 0.0000
Se 0.8301 -5.0546 -1.1440
```


Arrangement 2

DFT (GGA-PBE) results for a relaxed KSb2SeI crystal.

## Properties
- ρ: 3.24 g cm⁻³

Structure (extended XYZ):
```
5
Lattice="-2.8441 0.4782 -4.4951 3.9222 -2.3792 -2.7348 -3.6894 -7.8102 1.5034" Properties=species:S:1:pos:R:3 pbc="T T T"
I -1.8447 -3.9051 0.7517
Sb 1.9611 -1.1896 -1.3674
Sb -1.4221 0.2391 -2.2475
K -1.3057 -4.8556 -2.8632
Se 0.0000 0.0000 0.0000
```


We find arrangement 2 to be the most stable, with the next structure 1131 meV/atom higher.